[1]
The following is a DFT calculation (PBE-GGA) of an optimized crystal structure of OsWS2.

Geometry as extended XYZ:
```
4
Lattice="-4.2704 -2.9782 6.1260 -1.5594 -2.6563 7.4260 -3.4450 -0.2985 7.2578" Properties=species:S:1:pos:R:3 pbc="T T T"
S -0.8847 -0.5659 1.9850
S -8.3901 -5.3671 18.8248
W -4.6374 -2.9665 10.4049
Os 0.0000 0.0000 0.0000
```

## Properties
Total magnetization: 0.00 Bohr magnetons per cell
Fermi-level density of states: 0.453 states/eV/atom
Uncorrected formation energy: 20 meV/atom

[2]
The following is a DFT calculation (PBE-GGA) of an optimized crystal structure of Os3WS.

Geometry as extended XYZ:
```
5
Lattice="4.7678 0.0000 0.0000 0.0000 4.7678 0.0000 0.0000 0.0000 4.7678" Properties=species:S:1:pos:R:3 pbc="T T T"
S 2.3839 2.3839 2.3839
Os 2.3839 0.0000 0.0000
Os 0.0000 2.3839 0.0000
Os 0.0000 0.0000 2.3839
W 0.0000 0.0000 0.0000
```

## Properties
Total magnetization: 3.89 Bohr magnetons per cell
Fermi-level density of states: 1.073 states/eV/atom
Uncorrected formation energy: 2660 meV/atom

[3]
The following is a DFT calculation (PBE-GGA) of an optimized crystal structure of YOsW2S.

Geometry as extended XYZ:
```
5
Lattice="4.8251 0.0000 0.0000 0.0000 4.7372 0.0000 0.0000 0.0000 4.8251" Properties=species:S:1:pos:R:3 pbc="T T T"
W 2.4125 0.0000 0.0000
Os 2.4125 2.3686 2.4125
W 0.0000 0.0000 2.4125
S 0.0000 2.3686 0.0000
Y 0.0000 0.0000 0.0000
```

## Properties
Total magnetization: 0.00 Bohr magnetons per cell
Fermi-level density of states: 1.884 states/eV/atom
Uncorrected formation energy: 3082 meV/atom

[4]
The following is a DFT calculation (PBE-GGA) of an optimized crystal structure of Y2Os2S.

Geometry as extended XYZ:
```
5
Lattice="-0.6388 -3.4425 0.7888 -0.3407 -0.7378 -3.4958 7.5237 -3.6792 -1.7991" Properties=species:S:1:pos:R:3 pbc="T T T"
Os 3.1976 -4.6059 -1.1819
S 0.0000 0.0000 0.0000
Y 5.3735 -5.4401 -3.0603
Os 3.3466 -3.2536 -3.3242
Y 1.1707 -2.4194 -1.4458
```

## Properties
Total magnetization: 0.00 Bohr magnetons per cell
Fermi-level density of states: 1.501 states/eV/atom
Uncorrected formation energy: -469 meV/atom

[5]
The following is a DFT calculation (PBE-GGA) of an optimized crystal structure of YOs2S2.

Geometry as extended XYZ:
```
10
Lattice="-5.7393 4.3902 -1.9424 -4.0451 -2.7922 5.6416 1.0716 2.2290 1.8716" Properties=species:S:1:pos:R:3 pbc="T T T"
Os -2.1269 2.4324 0.8909
S -7.3956 1.4411 2.5182
S -4.9853 2.5406 -0.1713
Y -4.8922 0.7990 1.8496
Y 0.0000 0.0000 0.0000
Os -2.6818 -0.0864 4.2084
S -2.3889 0.1569 1.1810
S -4.7992 -0.9426 3.8705
Os -6.0310 3.9134 1.3624
Os -6.5859 1.3947 4.6799
```

## Properties
Total magnetization: 0.00 Bohr magnetons per cell
Fermi-level density of states: 1.012 states/eV/atom
Uncorrected formation energy: 143 meV/atom

[6]
The following is a DFT calculation (PBE-GGA) of an optimized crystal structure of Y7OsS5.

Geometry as extended XYZ:
```
26
Lattice="3.8646 -0.0009 0.0000 -1.9337 6.4681 0.0075 0.0000 -0.0279 23.6331" Properties=species:S:1:pos:R:3 pbc="T T T"
Y 1.9313 4.0369 19.4013
Os 1.9313 3.9664 6.1366
Y 1.9322 0.4682 17.6903
Y -0.0009 4.7696 22.8332
Y 1.9320 3.7972 16.0655
Y 1.9317 1.6652 11.0131
S -0.0018 5.8978 20.3429
S 1.9309 6.3087 11.7766
S -0.0006 3.4503 10.1476
S -0.0023 5.6880 15.1694
Y 1.9313 5.4326 2.5717
S 1.9314 2.9863 21.9636
Y -0.0012 2.6537 4.2474
Y -0.0004 2.4053 7.5828
Y -0.0005 1.0226 14.3833
S -0.0001 0.1245 23.5858
Y -0.0014 5.9783 5.8801
Y -0.0012 4.5481 12.7031
Y 1.9312 5.0977 8.9604
Y -0.0003 1.3413 20.7727
Os -0.0004 2.4794 17.9514
S -0.0012 3.6816 1.6998
Y 1.9320 1.9109 0.8836
S 1.9326 0.5424 8.5203
S 1.9331 0.7652 3.3471
S 1.9320 2.7756 13.5153
```

## Properties
Total magnetization: 0.00 Bohr magnetons per cell
Fermi-level density of states: 0.456 states/eV/atom
Uncorrected formation energy: -1583 meV/atom

[7]
The following is a DFT calculation (PBE-GGA) of an optimized crystal structure of YOsS3.

Geometry as extended XYZ:
```
5
Lattice="-0.0518 -3.3501 3.9173 -0.2732 -3.9102 -3.3476 5.1472 -0.2412 -0.1382" Properties=species:S:1:pos:R:3 pbc="T T T"
S 2.5736 -0.1206 -0.0691
Os 2.4111 -3.7507 0.2157
S -0.0259 -1.6750 1.9586
S -0.1366 -1.9551 -1.6738
Y 0.0000 0.0000 0.0000
```

## Properties
Total magnetization: 4.75 Bohr magnetons per cell
Fermi-level density of states: 1.987 states/eV/atom
Uncorrected formation energy: 869 meV/atom

[8]
The following is a DFT calculation (PBE-GGA) of an optimized crystal structure of YOsS3.

Geometry as extended XYZ:
```
5
Lattice="4.6580 0.0000 0.0000 0.0000 4.6580 0.0000 0.0000 0.0000 4.6580" Properties=species:S:1:pos:R:3 pbc="T T T"
Y 2.3290 2.3290 2.3290
S 0.0000 2.3290 0.0000
S 2.3290 0.0000 0.0000
S 0.0000 0.0000 2.3290
Os 0.0000 0.0000 0.0000
```

## Properties
Total magnetization: 1.39 Bohr magnetons per cell
Fermi-level density of states: 0.898 states/eV/atom
Uncorrected formation energy: -337 meV/atom

[9]
The following is a DFT calculation (PBE-GGA) of an optimized crystal structure of YOs2S2.

Geometry as extended XYZ:
```
5
Lattice="4.0101 0.0000 0.0000 0.0000 4.0101 0.0000 2.0051 2.0051 5.3400" Properties=species:S:1:pos:R:3 pbc="T T T"
S 2.0051 2.0051 1.4351
S 4.0101 4.0101 3.9049
Y 0.0000 0.0000 0.0000
Os 4.0101 2.0051 2.6700
Os 2.0051 4.0101 2.6700
```

## Properties
Total magnetization: 0.00 Bohr magnetons per cell
Fermi-level density of states: 0.750 states/eV/atom
Uncorrected formation energy: -239 meV/atom

[10]
The following is a DFT calculation (PBE-GGA) of an optimized crystal structure of Y2Os2S.

Geometry as extended XYZ:
```
10
Lattice="7.2842 0.0000 0.0000 0.0000 7.2842 0.0000 0.0000 0.0000 4.3067" Properties=species:S:1:pos:R:3 pbc="T T T"
Os 2.8264 0.8157 2.1534
Os 6.4686 2.8264 2.1534
Os 4.4578 6.4686 2.1534
Y 1.2619 2.3802 0.0000
S 0.0000 0.0000 0.0000
Y 2.3802 6.0223 0.0000
Y 4.9040 1.2619 0.0000
Os 0.8157 4.4578 2.1534
S 3.6421 3.6421 0.0000
Y 6.0223 4.9040 0.0000
```

## Properties
Total magnetization: 0.00 Bohr magnetons per cell
Fermi-level density of states: 0.649 states/eV/atom
Uncorrected formation energy: 112 meV/atom

[11]
The following is a DFT calculation (PBE-GGA) of an optimized crystal structure of ZnOs3S.

Geometry as extended XYZ:
```
5
Lattice="-3.0731 -0.0243 3.3028 0.9607 -4.3228 0.8621 3.1601 1.2906 2.9498" Properties=species:S:1:pos:R:3 pbc="T T T"
Os 0.4804 -2.1614 0.4310
Os 1.5800 0.6453 1.4749
Zn 0.0000 0.0000 0.0000
Os -1.5365 -0.0122 1.6514
S 0.5239 -1.5283 3.5573
```

## Properties
Total magnetization: 1.09 Bohr magnetons per cell
Fermi-level density of states: 1.360 states/eV/atom
Uncorrected formation energy: 2575 meV/atom

[12]
The following is a DFT calculation (PBE-GGA) of an optimized crystal structure of ZnOs3S.

Geometry as extended XYZ:
```
5
Lattice="-2.4461 -0.7546 -3.4950 1.4968 -4.0618 -0.1706 -3.2471 -1.3039 2.5541" Properties=species:S:1:pos:R:3 pbc="T T T"
Zn -2.0982 -3.0601 -0.5557
Os 0.7484 -2.0309 -0.0853
Os -1.2230 -0.3773 -1.7475
S 0.0000 0.0000 0.0000
Os -1.6236 -0.6519 1.2771
```

## Properties
Total magnetization: 0.00 Bohr magnetons per cell
Fermi-level density of states: 0.758 states/eV/atom
Uncorrected formation energy: 1096 meV/atom

Among the records above, which one has the highest Fermi-level density of states?
number 7

What is the uncorrected formation energy in the third record?
3082 meV/atom

Please write out number 10 again, unchanged.
The following is a DFT calculation (PBE-GGA) of an optimized crystal structure of Y2Os2S.

Geometry as extended XYZ:
```
10
Lattice="7.2842 0.0000 0.0000 0.0000 7.2842 0.0000 0.0000 0.0000 4.3067" Properties=species:S:1:pos:R:3 pbc="T T T"
Os 2.8264 0.8157 2.1534
Os 6.4686 2.8264 2.1534
Os 4.4578 6.4686 2.1534
Y 1.2619 2.3802 0.0000
S 0.0000 0.0000 0.0000
Y 2.3802 6.0223 0.0000
Y 4.9040 1.2619 0.0000
Os 0.8157 4.4578 2.1534
S 3.6421 3.6421 0.0000
Y 6.0223 4.9040 0.0000
```

## Properties
Total magnetization: 0.00 Bohr magnetons per cell
Fermi-level density of states: 0.649 states/eV/atom
Uncorrected formation energy: 112 meV/atom

Number 5 is which compound?
YOs2S2